# 1
A relaxed BC crystal. Source: Alexandria via LeMat-Bulk, functional PBE.

Summary:
calculated formation energy: 0.400 eV per atom
Fermi-level density of states: 1.65 states/eV per cell
polymorph energy (0 for the lowest one): 249 meV/atom
space group: Pm, No. 6

Unit cell a=2.663 b=4.790 c=6.264 alpha=103.99 beta=90.00 gamma=90.00
Atoms (fractional coordinates):
B 0.500 0.786 0.320
B 0.500 0.590 0.002
B 0.000 0.683 0.668
B 0.500 0.394 0.206
B 0.000 0.250 0.332
B 0.000 0.086 0.003
C 0.500 0.228 0.936
C 0.000 0.738 0.957
C 0.000 0.320 0.595
C 0.500 0.842 0.583
C 0.000 0.902 0.227
C 0.500 0.181 0.673

# 2
A relaxed B7C5 crystal. Source: Alexandria via LeMat-Bulk, functional PBE.

Summary:
calculated formation energy: 0.490 eV per atom
Fermi-level density of states: 2.30 states/eV per cell
polymorph energy (0 for the lowest one): 326 meV/atom
space group: Pm, No. 6

Unit cell a=2.622 b=4.608 c=6.941 alpha=91.24 beta=90.00 gamma=90.00
Atoms (fractional coordinates):
B 0.500 0.568 0.018
B 0.500 0.143 0.871
B 0.500 0.825 0.359
B 0.000 0.971 0.002
B 0.000 0.658 0.672
B 0.500 0.442 0.254
B 0.000 0.054 0.239
C 0.500 0.171 0.648
C 0.000 0.329 0.578
C 0.500 0.844 0.586
C 0.000 0.350 0.364
C 0.000 0.645 0.911

# 3
A relaxed B7C5 crystal. Source: Alexandria via LeMat-Bulk, functional PBE.

Summary:
calculated formation energy: 0.353 eV per atom
Fermi-level density of states: 1.35 states/eV per cell
polymorph energy (0 for the lowest one): 188 meV/atom
space group: Pm, No. 6

Unit cell a=2.638 b=4.129 c=8.687 alpha=89.14 beta=90.00 gamma=90.00
Atoms (fractional coordinates):
C 0.000 0.011 0.671
C 0.000 0.053 0.347
C 0.000 0.199 0.822
C 0.500 0.837 0.635
C 0.500 0.697 0.975
B 0.500 0.372 0.863
B 0.500 0.461 0.113
B 0.000 0.285 0.210
B 0.000 0.267 0.506
B 0.500 0.886 0.392
B 0.500 0.558 0.527
B 0.000 0.876 0.938

# 4
A relaxed BC crystal. Source: Alexandria via LeMat-Bulk, functional PBE.

Summary:
calculated formation energy: 0.352 eV per atom
Fermi-level density of states: 2.37 states/eV per cell
polymorph energy (0 for the lowest one): 201 meV/atom
space group: Cm, No. 8

Unit cell a=4.444 b=4.444 c=6.475 alpha=106.61 beta=106.61 gamma=31.93
Atoms (fractional coordinates):
B 0.246 0.246 0.053
B 0.378 0.378 0.598
B 0.168 0.168 0.771
B 0.382 0.382 0.873
B 0.030 0.030 0.017
C 0.570 0.570 0.622
C 0.016 0.016 0.264
C 0.781 0.781 0.428
C 0.598 0.598 0.397
C 0.832 0.832 0.227